Compound: Sr4Ca4TiMn7O24
Source: Alexandria
Functional: PBE+U
Structure: optimized geometry

The structure in POSCAR format:
```
Sr4Ca4TiMn7O24
1.0
-3.513 1.335 -6.726
-3.418 -6.892 0.416
-5.952 3.181 3.744
O Mn Sr Ca Ti
24 7 4 4 1
Cartesian
-7.159 -3.004 -1.254 O
-4.484 -4.427 -3.009 O
-6.247 -3.751 -6.292 O
-10.001 2.626 -2.971 O
-5.403 2.427 -3.316 O
-3.150 -2.354 0.906 O
-4.718 -1.851 -2.069 O
-7.551 1.313 -4.575 O
-1.738 0.571 0.681 O
-5.685 -1.459 0.504 O
-9.930 -3.442 2.296 O
-5.709 0.629 -1.309 O
-3.191 1.186 -2.167 O
-11.115 -2.970 -3.274 O
-7.481 -4.813 0.743 O
-7.184 -0.914 -3.068 O
-8.367 2.015 0.262 O
-9.745 -0.080 -3.539 O
-5.333 -3.695 1.998 O
-4.507 -2.416 -4.755 O
-8.113 -0.527 -0.500 O
-6.224 -5.785 -4.527 O
-9.704 -3.621 -0.466 O
-8.343 -0.134 2.127 O
-9.897 -3.942 -4.409 Mn
-0.025 -0.007 -0.008 Mn
-3.452 -2.757 -3.130 Mn
-8.172 -4.604 -1.073 Mn
-8.219 -0.523 -4.616 Mn
-1.748 0.654 -3.337 Mn
-1.701 -3.419 0.198 Mn
-4.912 -4.051 -0.465 Sr
-4.960 0.044 -4.019 Sr
-6.214 0.997 1.231 Sr
-6.693 -3.362 -3.784 Sr
-3.492 -0.487 -0.514 Ca
-9.879 -1.628 -1.744 Ca
-7.871 1.786 -2.144 Ca
-7.821 -2.477 1.556 Ca
-6.541 -1.183 -1.276 Ti
```

Calculated values
total magnetization: 21.24 μB/f.u.
SG: Cm, No. 8
N(E_F): 0.20 states/eV/atom
final energy: -280.8 eV per cell
crystal system: monoclinic